Record 1
## LaTlAu4 (PBE)

Data for a geometry-optimized LaTlAu4 structure.

Lattice parameters (Å, degrees): 4.8446 4.8446 6.9429 90.00 90.00 120.00
Closest atoms and distances in Å follow each position.
Fractional coordinates of all 6 atoms:
Au (0.3333, 0.6667, 0.7490)  3 Au 2.80
Au (0.6667, 0.3333, 0.7490)  3 Au 2.80
Au (0.3333, 0.6667, 0.2510)  3 Au 2.80
Au (0.6667, 0.3333, 0.2510)  3 Au 2.80
Tl (0.0000, 0.0000, 0.5000)  12 Au 3.29, 2 La 3.47
La (0.0000, 0.0000, 0.0000)  12 Au 3.30, 2 Tl 3.47

Computed properties:
Crystal system: hexagonal
Offset from the most stable computed form, eV/f.u.: 0.00
Energy of formation from the pure elements, eV/atom: -0.45

=====

Record 2
## TlSi2Sn (PBE)

Data for a geometry-optimized TlSi2Sn structure.

Lattice parameters (Å, degrees): 6.1769 6.1769 7.4348 65.46 65.46 90.00
Closest atoms and distances in Å follow each position.
Fractional coordinates of all 8 atoms:
Sn (0.2500, 0.7500, 0.5000)  4 Si 2.63
Sn (0.5000, 0.5000, 0.0000)  4 Si 2.63
Si (0.6183, 0.1250, 0.2500)  2 Sn 2.63, 2 Tl 2.68
Si (0.3750, 0.3817, 0.7500)  2 Sn 2.63, 2 Tl 2.68
Si (0.1317, 0.6250, 0.2500)  2 Sn 2.63, 2 Tl 2.68
Si (0.8750, 0.8683, 0.7500)  2 Sn 2.63, 2 Tl 2.68
Tl (0.7500, 0.2500, 0.5000)  4 Si 2.68
Tl (0.0000, 0.0000, 0.0000)  4 Si 2.68

Computed properties:
Formation energy without anion corrections, eV per atom: 0.4285
Crystal system: tetragonal
Offset from the most stable computed form, eV/f.u.: 0.00

=====

Record 3
## CdIn2W (PBE)

Data for a geometry-optimized CdIn2W structure.

Lattice parameters (Å, degrees): 5.2847 5.2847 2.9569 90.00 90.00 90.00
Closest atoms and distances in Å follow each position.
Fractional coordinates of all 4 atoms:
In (0.5000, 0.5000, 0.0000)  2 In 2.96, 4 Cd 3.03, 4 W 3.03
In (0.0000, 0.0000, 0.0000)  2 In 2.96, 4 Cd 3.03, 4 W 3.03
W (0.5000, 0.0000, 0.5000)  2 W 2.96, 8 In 3.03
Cd (0.0000, 0.5000, 0.5000)  2 Cd 2.96, 8 In 3.03

Computed properties:
Crystal system: tetragonal
Energy of formation from the pure elements, eV/atom: 0.57

=====

Record 4
## Er7Ge2C2 (PBE)

Data for a geometry-optimized Er7Ge2C2 structure.

Lattice parameters (Å, degrees): 6.9458 6.9533 6.9533 111.80 94.49 94.49
Closest atoms and distances in Å follow each position.
Fractional coordinates of all 11 atoms:
Ge (0.5000, 0.3164, 0.6836)  6 Er 2.85-2.92
Ge (0.5000, 0.6836, 0.3164)  6 Er 2.85-2.92
Er (0.7887, 0.5792, 0.5792)  2 C 2.34-2.53
Er (0.0000, 0.0000, 0.0000)  2 C 2.41
Er (0.2425, 0.9401, 0.5679)  1 C 2.33
Er (0.2113, 0.4208, 0.4208)  2 C 2.34-2.53
Er (0.7575, 0.0599, 0.4321)  1 C 2.33
Er (0.7575, 0.4321, 0.0599)  1 C 2.33
Er (0.2425, 0.5679, 0.9401)  1 C 2.33
C (0.1097, 0.7199, 0.7199)  5 Er 2.33-2.53
C (0.8903, 0.2801, 0.2801)  5 Er 2.33-2.53

Computed properties:
Crystal system: monoclinic
Energy of formation from the pure elements, eV/atom: -0.17

=====

Calculated density across the listed records, respectively: 13.310, 5.487, 10.575, 7.207 Mg/m³.
Size of the total moment across the listed records, respectively: 0.00, 0.00, 0.00, 0.28 μB per formula unit.